No. 1
# LaSmHo5

A relaxed structure of LaSmHo5 (PBE, the Alexandria database).

The structure in POSCAR format:
```
LaSmHo5
1.0
5.768 0.000 0.000
2.884 7.302 0.475
2.884 1.773 7.099
Ho Sm La
5 1 1
Direct
0.747 0.253 0.253 Ho
0.500 0.820 0.180 Ho
0.000 0.500 0.500 Ho
0.500 0.180 0.820 Ho
0.253 0.747 0.747 Ho
0.500 0.500 0.500 Sm
0.000 0.000 0.000 La
```

Computed properties:
As for the formation energy from the elements: 7.73 eV/f.u. For the energy, the calculation gives -24.801 eV per formula unit. As for the space group: Immm, No. 71. The calculation puts the density of states at the Fermi level at 10.68 states/eV/cell. The excess energy over the best structure of this formula in the dataset comes out at 87.42 kJ/mol of atoms.

No. 2
# MgIn2C

A relaxed structure of MgIn2C (PBE, the Alexandria database).

The structure in POSCAR format:
```
MgIn2C
1.0
6.469 0.000 0.000
0.000 6.469 0.000
3.234 3.234 4.514
In Mg C
4 2 2
Direct
0.375 0.472 0.750 In
0.222 0.625 0.250 In
0.528 0.125 0.250 In
0.875 0.778 0.750 In
0.000 0.000 0.000 Mg
0.750 0.250 0.500 Mg
0.250 0.750 0.500 C
0.500 0.500 0.000 C
```

Computed properties:
As for the formation energy from the elements: 3.04 eV/f.u. For the energy, the calculation gives -13.254 eV per formula unit. As for the space group: I-42d, No. 122. The calculation puts the density of states at the Fermi level at 0.35 states/eV/cell.

No. 3
# CdInBi2

A relaxed structure of CdInBi2 (PBE, the Alexandria database).

The structure in POSCAR format:
```
CdInBi2
1.0
4.676 0.000 0.000
2.338 4.050 0.000
2.338 1.350 6.683
Bi In Cd
2 1 1
Direct
0.076 0.076 0.771 Bi
0.257 0.257 0.230 Bi
0.499 0.499 0.503 In
0.668 0.668 0.996 Cd
```

Computed properties:
As for the formation energy from the elements: 0.36 eV/f.u. For the energy, the calculation gives -11.054 eV per formula unit. As for the space group: R3m, No. 160. The calculation puts the density of states at the Fermi level at 1.75 states/eV/cell.